The following is a PBE calculation of crystalline YTaF3 at its relaxed geometry, from the Alexandria database.

The structure in extended XYZ format:
```
5
Lattice="-2.5762 -1.7858 -3.0975 -2.6486 -1.6114 3.1318 -2.4017 3.6925 -0.1313" Properties=species:S:1:pos:R:3 pbc="T T T"
F -1.2881 -0.8929 -1.5487
F -1.3243 -0.8057 1.5659
F -1.2009 1.8462 -0.0657
Y -3.8133 0.1477 -0.0485
Ta 0.0000 0.0000 0.0000
```

Computed properties:
The value obtained for the size of the total moment is 4.42 μB/cell. The relative energy among the computed polymorphs comes out at 268 meV/atom. For the total energy, the calculation gives -30.75 eV per cell.